(1)
A relaxed structure of YBeIr, computed with PBE.

The calculation puts the energy relative to the lowest polymorph listed for this composition at 685 meV/atom. As for the crystal system: cubic.

Cell: 6.3598 6.3598 6.3598 Å, 90.00 90.00 90.00°
Space group F-43m (No. 216)
Symmetry-distinct sites (fractional):
Y 0.0000 0.0000 0.0000 (multiplicity 4)
Be 0.2500 0.2500 0.7500 (multiplicity 4)
Ir 0.2500 0.2500 0.2500 (multiplicity 4)

(2)
A relaxed structure of W2Au, computed with PBE.

The calculation puts the energy relative to the lowest polymorph listed for this composition at 0 meV/atom. As for the crystal system: cubic. The formation energy is 0.67 eV/atom.

Cell: 7.4822 7.4822 7.4822 Å, 90.00 90.00 90.00°
Space group Fd-3m (No. 227, origin choice 2)
Symmetry-distinct sites (fractional):
W 0.0000 0.0000 0.0000 (multiplicity 16)
Au 0.1250 0.1250 0.6250 (multiplicity 8)

(3)
A relaxed structure of RbScNb, computed with PBE.

The calculation puts the energy relative to the lowest polymorph listed for this composition at 0 meV/atom. As for the crystal system: cubic.

Cell: 7.5691 7.5691 7.5691 Å, 90.00 90.00 90.00°
Space group F-43m (No. 216)
Symmetry-distinct sites (fractional):
Rb 0.0000 0.0000 0.0000 (multiplicity 4)
Sc 0.0000 0.0000 0.5000 (multiplicity 4)
Nb 0.2500 0.2500 0.2500 (multiplicity 4)

(4)
A relaxed structure of Y4Be33Pt16, computed with PBE.

The value obtained for the raw total energy is -5.363 eV/atom. As for the crystal system: cubic.

Cell: 13.5663 13.5663 13.5663 Å, 90.00 90.00 90.00°
Space group I-43d (No. 220)
Symmetry-distinct sites (fractional):
Y 0.0598 0.4402 0.5598 (multiplicity 16)
Be 0.0000 0.2500 0.0879 (multiplicity 24)
Be 0.0000 0.2500 0.3750 (multiplicity 12)
Be 0.0102 0.3349 0.9408 (multiplicity 48)
Be 0.0801 0.1056 0.3790 (multiplicity 48)
Pt 0.0103 0.3987 0.7770 (multiplicity 48)
Pt 0.0626 0.0626 0.0626 (multiplicity 16)

(5)
A relaxed structure of FeB2, computed with PBE.

The value obtained for the raw total energy is -6.392 eV/atom. As for the crystal system: tetragonal.

Cell: 5.2351 5.2351 2.2138 Å, 90.00 90.00 90.00°
Space group P4_2/mnm (No. 136)
Symmetry-distinct sites (fractional):
Fe 0.0000 0.0000 0.0000 (multiplicity 2)
B 0.2271 0.2271 0.5000 (multiplicity 4)

(6)
A relaxed structure of NiW, computed with PBE.

As for the crystal system: hexagonal. The formation energy is 0.55 eV/atom.

Cell: 5.1554 5.1554 15.3440 Å, 90.00 90.00 120.00°
Space group P6_3/mmc (No. 194)
Symmetry-distinct sites (fractional):
Ni 0.0000 0.0000 0.0841 (multiplicity 4)
Ni 0.3333 0.6667 0.1277 (multiplicity 4)
Ni 0.3333 0.6667 0.6655 (multiplicity 4)
W 0.0000 0.5000 0.0000 (multiplicity 6)
W 0.1607 0.3214 0.2500 (multiplicity 6)